Density functional theory data (GGA+U) for a geometry-optimized Ag2Mo3SeO12 structure.

Values from the calculation:
Its calculated total energy is -6.17 eV per atom. Its symmetry is No. 14.

The structure in POSCAR format:
```
Ag2Mo3SeO12
1.0
7.477 0.000 0.003
0.000 11.278 0.000
-3.304 0.000 12.681
O Ag Mo Se
48 8 12 4
Direct
0.386 0.595 0.299 O
0.307 0.586 0.093 O
0.588 0.748 0.463 O
0.113 0.730 0.191 O
0.825 0.917 0.380 O
0.912 0.248 0.037 O
0.902 0.583 0.033 O
0.322 0.236 0.059 O
0.886 0.905 0.799 O
0.114 0.095 0.201 O
0.614 0.405 0.701 O
0.738 0.754 0.155 O
0.098 0.417 0.967 O
0.262 0.246 0.845 O
0.175 0.083 0.620 O
0.387 0.230 0.309 O
0.238 0.746 0.655 O
0.325 0.583 0.880 O
0.402 0.917 0.533 O
0.835 0.572 0.553 O
0.178 0.736 0.441 O
0.559 0.420 0.445 O
0.193 0.086 0.407 O
0.598 0.083 0.467 O
0.088 0.752 0.963 O
0.450 0.915 0.315 O
0.822 0.264 0.559 O
0.230 0.417 0.658 O
0.441 0.580 0.555 O
0.059 0.080 0.945 O
0.807 0.914 0.593 O
0.887 0.270 0.809 O
0.050 0.415 0.185 O
0.678 0.764 0.941 O
0.335 0.928 0.053 O
0.270 0.917 0.842 O
0.412 0.252 0.537 O
0.950 0.585 0.815 O
0.675 0.417 0.120 O
0.613 0.770 0.691 O
0.165 0.428 0.447 O
0.665 0.072 0.947 O
0.762 0.254 0.345 O
0.770 0.583 0.342 O
0.730 0.083 0.158 O
0.550 0.085 0.685 O
0.693 0.414 0.907 O
0.941 0.920 0.055 O
0.934 0.429 0.680 Ag
0.907 0.102 0.689 Ag
0.566 0.929 0.820 Ag
0.434 0.071 0.180 Ag
0.066 0.571 0.320 Ag
0.407 0.398 0.189 Ag
0.093 0.898 0.311 Ag
0.593 0.602 0.811 Ag
0.356 0.748 0.558 Mo
0.367 0.082 0.569 Mo
0.151 0.918 0.941 Mo
0.867 0.418 0.069 Mo
0.633 0.918 0.431 Mo
0.644 0.252 0.442 Mo
0.856 0.752 0.058 Mo
0.349 0.418 0.559 Mo
0.133 0.582 0.931 Mo
0.651 0.582 0.441 Mo
0.144 0.248 0.942 Mo
0.849 0.082 0.059 Mo
0.843 0.808 0.692 Se
0.657 0.308 0.808 Se
0.343 0.692 0.192 Se
0.157 0.192 0.308 Se
```